Material: Al3CrF
Method: DFT, PBE with a Hubbard U
State: relaxed

a b c (Å): 4.930 4.930 4.930
angles (deg): 90.00 90.00 90.00
Fractional coordinates of all 5 atoms:
Cr  0.000  0.000  0.000
F  0.500  0.500  0.500
Al  0.500  0.000  0.000
Al  0.000  0.500  0.000
Al  0.000  0.000  0.500

* distance to the lowest polymorph of the same formula: 2.21 eV per formula unit
* raw total energy: -0.138 Ha/atom